VASP calculation (GGA-PBE) on an optimized crystal structure of Ac2MgPb8.

Cell and atoms, written as POSCAR:
```
Ac2MgPb8
1.0
5.130 0.000 0.000
0.000 5.130 0.000
0.000 0.000 13.349
Pb Mg Ac
8 1 2
Direct
0.500 0.000 0.128
0.500 0.000 0.872
0.000 0.500 0.500
0.000 0.500 0.872
0.500 0.500 0.314
0.000 0.500 0.128
0.500 0.500 0.686
0.500 0.000 0.500
0.000 0.000 0.000
0.000 0.000 0.684
0.000 0.000 0.316
```

Final energy (eV/atom): -3.859
Formation energy from the elements (eV/atom): -0.270
Magnetization (Bohr magnetons per cell): 0.00